Entry from Alexandria via LeMat-Bulk: a relaxed structure of Tb2Zr3Ga4 (PBE).

Structure (extended XYZ):
```
18
Lattice="7.543 0.000 0.000 0.000 7.569 0.000 -2.229 0.000 6.926" Properties=species:S:1:pos:R:3 pbc="T T T"
Tb 1.286 1.309 0.488
Tb 0.171 2.475 3.951
Tb 5.143 5.094 2.975
Tb 4.028 6.260 6.438
Zr 1.321 5.143 1.720
Zr 0.206 6.211 5.183
Zr 2.657 0.000 3.463
Zr 3.772 3.785 0.000
Zr 5.108 1.358 1.743
Zr 3.993 2.426 5.206
Ga -1.320 4.060 5.991
Ga -0.206 7.294 2.528
Ga 1.786 0.933 6.031
Ga 2.901 2.852 2.568
Ga 2.413 4.718 4.358
Ga 3.528 6.636 0.895
Ga 5.519 0.275 4.398
Ga 6.634 3.510 0.935
```

Size of the total moment   1.7 Bohr magnetons per cell
Energy of formation from the pure elements   -0.570 eV/atom
Electronic total energy   -5.794 eV per atom
Space group   P2_1/c

=====

Entry from Alexandria via LeMat-Bulk: a relaxed structure of Ca2MnPt (PBE).

Structure (extended XYZ):
```
4
Lattice="3.448 -3.456 0.000 3.448 3.456 0.000 0.000 0.000 3.780" Properties=species:S:1:pos:R:3 pbc="T T T"
Ca 1.724 1.728 0.000
Ca 1.724 -1.728 0.000
Mn 0.000 0.000 1.890
Pt 3.448 0.000 1.890
```

Size of the total moment   3.7 Bohr magnetons per cell
Energy of formation from the pure elements   -0.178 eV/atom
Electronic total energy   -4.981 eV per atom
Space group   Cmmm

=====

Entry from Alexandria via LeMat-Bulk: a relaxed structure of NpCuH (PBE).

Structure (extended XYZ):
```
6
Lattice="-1.677 1.677 7.576 1.677 -1.677 7.576 1.677 1.677 -7.576" Properties=species:S:1:pos:R:3 pbc="T T T"
Np 0.000 0.000 2.576
Np 0.000 0.000 12.576
Cu 1.677 0.000 0.000
Cu 0.000 1.677 0.000
H 0.000 0.000 4.828
H 0.000 0.000 10.323
```

Size of the total moment   8.2 Bohr magnetons per cell
Electronic total energy   -6.592 eV per atom
Space group   I4/mmm

=====

Entry from Alexandria via LeMat-Bulk: a relaxed structure of Rb3RuPt (PBE).

Structure (extended XYZ):
```
5
Lattice="6.388 0.000 0.000 0.000 6.388 0.000 0.000 0.000 6.388" Properties=species:S:1:pos:R:3 pbc="T T T"
Rb 0.000 0.000 3.194
Rb 0.000 3.194 0.000
Rb 3.194 0.000 0.000
Ru 3.194 3.194 3.194
Pt 0.000 0.000 0.000
```

Size of the total moment   3.0 Bohr magnetons per cell
Energy of formation from the pure elements   1.068 eV/atom
Electronic total energy   -2.576 eV per atom
Space group   Pm-3m